A relaxed Pm3Dy2Ho6In crystal, computed with PBE.

Properties
theoretical density: 8.337 g cm⁻³
space group: C2/m (12)
ΔE_f: -41 meV/atom
volume: 30.95 Å³ per atom
total magnetization: 0.0 Bohr magnetons per cell

Geometry as POSCAR:
```
Pm3Dy2Ho6In
1.0
6.115 -0.002 -0.008
-3.058 5.296 -0.008
-1.008 -1.745 11.472
Ho Dy Pm In
6 2 3 1
Direct
0.753 0.753 0.245
0.247 0.247 0.755
0.919 0.591 0.756
0.591 0.919 0.756
0.081 0.409 0.244
0.409 0.081 0.244
0.334 0.666 0.000
0.666 0.334 0.000
0.833 0.167 0.500
0.500 0.500 0.500
0.167 0.833 0.500
0.000 0.000 0.000
```

***

A relaxed PmDyHoIn crystal, computed with PBE.

Properties
theoretical density: 8.355 g cm⁻³
space group: F-43m (216)
polymorph energy (0 for the lowest one): 0.0000 eV per atom
ΔE_f: -139 meV/atom
volume: 29.18 Å³ per atom
total magnetization: 1.0 Bohr magnetons per cell

Geometry as POSCAR:
```
PmDyHoIn
1.0
-1.318 2.925 -4.450
-4.859 -0.748 -2.434
-3.854 3.890 0.317
Ho Dy Pm In
1 1 1 1
Direct
0.750 0.750 0.750
0.000 0.000 0.000
0.500 0.500 0.500
0.250 0.250 0.250
```